# 1
Here is a relaxed structure of NaCd6Sn3 from Alexandria. Energies are from PBE-GGA.

The structure in extended XYZ format:
```
20
Lattice="4.160 -7.425 0.000 4.160 7.425 0.000 0.000 0.000 8.275" Properties=species:S:1:pos:R:3 pbc="T T T"
Na 4.160 4.280 4.138
Na 4.160 -4.280 0.000
Cd 4.160 7.191 2.431
Cd 1.503 2.432 3.071
Cd 2.103 0.701 0.472
Cd 4.160 3.331 0.982
Cd 2.103 -0.701 4.610
Cd 1.503 -2.432 7.208
Cd 6.817 2.432 3.071
Cd 6.217 0.701 0.472
Cd 4.160 -3.331 5.120
Cd 6.217 -0.701 4.610
Cd 6.817 -2.432 7.208
Cd 4.160 -7.191 6.568
Sn 2.549 2.103 6.058
Sn 4.160 0.821 2.807
Sn 2.549 -2.103 1.921
Sn 5.771 2.103 6.058
Sn 4.160 -0.821 6.944
Sn 5.771 -2.103 1.921
```

Values from the calculation:
electronic total energy: -37.4 eV for the cell shown
N(E_F): 6.9 states/eV/cell
mass density: 6844 kg/m³
M_tot: 0.000 μB per atom
space-group type: Cmc2_1

# 2
Here is a relaxed structure of AlFeHPt2 from Alexandria. Energies are from PBE-GGA.

The structure in extended XYZ format:
```
5
Lattice="3.941 0.000 0.000 0.000 3.941 0.000 0.000 0.000 3.841" Properties=species:S:1:pos:R:3 pbc="T T T"
Al 0.000 0.000 0.000
Fe 1.970 1.970 0.000
H 1.970 1.970 1.921
Pt 0.000 1.970 1.921
Pt 1.970 0.000 1.921
```

Values from the calculation:
electronic total energy: -29.2 eV for the cell shown
N(E_F): 5.2 states/eV/cell
mass density: 13196 kg/m³
M_tot: 0.436 μB per atom
space-group type: P4/mmm

# 3
Here is a relaxed structure of La7Pm3Dy from Alexandria. Energies are from PBE-GGA.

The structure in extended XYZ format:
```
11
Lattice="6.507 -5.776 0.000 6.507 5.776 0.000 -2.818 0.000 5.378" Properties=species:S:1:pos:R:3 pbc="T T T"
La 0.000 0.000 0.000
La 3.100 2.406 1.632
La 1.539 0.000 4.241
La 7.096 2.406 3.747
La 3.100 -2.406 1.632
La 8.657 0.000 1.137
La 7.096 -2.406 3.747
Pm 6.507 2.394 0.000
Pm 5.098 0.000 2.689
Pm 6.507 -2.394 0.000
Dy -1.409 0.000 2.689
```

Values from the calculation:
electronic total energy: -51.1 eV for the cell shown
N(E_F): 17.2 states/eV/cell
mass density: 6448 kg/m³
M_tot: 0.000 μB per atom
space-group type: C2/m

# 4
Here is a relaxed structure of AgSn2Cl2 from Alexandria. Energies are from PBE-GGA.

The structure in extended XYZ format:
```
10
Lattice="7.705 0.000 0.000 0.000 7.705 0.000 0.000 0.000 4.882" Properties=species:S:1:pos:R:3 pbc="T T T"
Ag 0.000 0.000 0.000
Ag 3.852 3.852 0.000
Sn 1.612 2.240 0.000
Sn 2.240 6.093 0.000
Sn 5.465 1.612 0.000
Sn 6.093 5.465 0.000
Cl 1.333 5.185 2.441
Cl 2.519 1.333 2.441
Cl 5.185 6.372 2.441
Cl 6.372 2.519 2.441
```

Values from the calculation:
distance to the lowest polymorph of the same formula: 0.0000 eV/atom
electronic total energy: -32.6 eV for the cell shown
N(E_F): 2.8 states/eV/cell
mass density: 4769 kg/m³
M_tot: 0.000 μB per atom
space-group type: P4/mbm
formation energy (no corrections): -0.348 eV/atom

# 5
Here is a relaxed structure of LaPr2Co9 from Alexandria. Energies are from PBE-GGA.

The structure in extended XYZ format:
```
12
Lattice="2.540 1.466 8.310 -2.540 1.466 8.310 0.000 -2.933 8.310" Properties=species:S:1:pos:R:3 pbc="T T T"
La 0.000 0.000 0.000
Pr 0.000 0.000 3.482
Pr 0.000 0.000 21.449
Co -1.259 -0.727 10.296
Co 0.000 0.000 8.306
Co 0.000 -1.454 14.635
Co -1.259 0.727 14.635
Co 0.000 0.000 12.465
Co 1.259 -0.727 10.296
Co 0.000 1.454 10.296
Co 0.000 0.000 16.625
Co 1.259 0.727 14.635
```

Values from the calculation:
electronic total energy: -78.6 eV for the cell shown
N(E_F): 19.2 states/eV/cell
mass density: 8505 kg/m³
M_tot: 0.839 μB per atom
space-group type: R-3m

# 6
Here is a relaxed structure of MnCu3Pd3 from Alexandria. Energies are from PBE-GGA.

The structure in extended XYZ format:
```
14
Lattice="7.088 0.000 0.000 -3.544 6.138 0.000 0.000 0.000 4.479" Properties=species:S:1:pos:R:3 pbc="T T T"
Mn 0.000 4.092 1.120
Mn 3.544 2.046 3.359
Cu -1.482 3.822 3.359
Cu 0.975 2.944 3.359
Cu 3.037 0.628 1.120
Cu 0.507 5.511 3.359
Cu 2.569 3.194 1.120
Cu 5.026 2.316 1.120
Pd -2.464 4.889 1.120
Pd 0.542 1.560 1.120
Pd 1.622 0.311 3.359
Pd 1.922 5.828 1.120
Pd 3.002 4.578 3.359
Pd 6.008 1.250 3.359
```

Values from the calculation:
distance to the lowest polymorph of the same formula: 0.0000 eV/atom
electronic total energy: -75.5 eV for the cell shown
N(E_F): 6.3 states/eV/cell
mass density: 9626 kg/m³
M_tot: 0.638 μB per atom
space-group type: P6_3/m

Among the records above, which one has the highest M_tot?
LaPr2Co9

Repeat the second record exactly.
Here is a relaxed structure of AlFeHPt2 from Alexandria. Energies are from PBE-GGA.

The structure in extended XYZ format:
```
5
Lattice="3.941 0.000 0.000 0.000 3.941 0.000 0.000 0.000 3.841" Properties=species:S:1:pos:R:3 pbc="T T T"
Al 0.000 0.000 0.000
Fe 1.970 1.970 0.000
H 1.970 1.970 1.921
Pt 0.000 1.970 1.921
Pt 1.970 0.000 1.921
```

Values from the calculation:
electronic total energy: -29.2 eV for the cell shown
N(E_F): 5.2 states/eV/cell
mass density: 13196 kg/m³
M_tot: 0.436 μB per atom
space-group type: P4/mmm

What is the electronic total energy in the sixth record?
-75.5 eV for the cell shown

Which value of N(E_F) does entry 1 give?
6.9 states/eV/cell